(1)
VASP calculation (PBE-GGA) on a relaxed Li6AcHg6 crystal. Values from VASP.

## Properties
As for the uncorrected energy: -21.59 eV per cell. The formation enthalpy at 0 K comes out at -0.322 eV per atom.

```
&SYSTEM
  ibrav = 0, nat = 13, ntyp = 3
/
ATOMIC_SPECIES
Li 6.94 Li.upf
Ac 227.00 Ac.upf
Hg 200.59 Hg.upf
CELL_PARAMETERS angstrom
-2.7658 4.8518 5.1071
2.7658 -4.8518 5.1071
2.7658 4.8518 -5.1071
ATOMIC_POSITIONS crystal
Li 0.0000 0.0000 0.5000
Li 0.0000 0.5000 0.0000
Li 0.2468 0.0000 0.2468
Li 0.5000 0.0000 0.0000
Li 0.5000 0.5000 0.5000
Li 0.7532 0.0000 0.7532
Ac 0.0000 0.5000 0.5000
Hg 0.1844 0.1844 0.0000
Hg 0.3422 0.5000 0.8422
Hg 0.3438 0.8438 0.5000
Hg 0.6562 0.1562 0.5000
Hg 0.6578 0.5000 0.1578
Hg 0.8156 0.8156 0.0000
```



(2)
VASP calculation (PBE-GGA) on a relaxed Pm4Sm3HoS8 crystal. Values from VASP.

## Properties
As for the uncorrected energy: -103.04 eV per cell. The uncorrected formation energy comes out at -2.018 eV/atom.

```
&SYSTEM
  ibrav = 0, nat = 16, ntyp = 4
/
ATOMIC_SPECIES
Pm 145.00 Pm.upf
Sm 150.36 Sm.upf
Ho 164.93 Ho.upf
S 32.06 S.upf
CELL_PARAMETERS angstrom
4.0044 2.3120 6.5528
-4.0044 2.3120 6.5528
0.0000 -4.6239 6.5528
ATOMIC_POSITIONS crystal
Pm 0.0000 0.0000 0.0000
Pm 0.0000 0.5000 0.5000
Pm 0.5000 0.0000 0.5000
Pm 0.5000 0.5000 0.0000
Sm 0.0000 0.0000 0.5000
Sm 0.0000 0.5000 0.0000
Sm 0.5000 0.0000 0.0000
Ho 0.5000 0.5000 0.5000
S 0.2492 0.2492 0.2492
S 0.2538 0.7446 0.7446
S 0.2554 0.2554 0.7462
S 0.2554 0.7462 0.2554
S 0.7446 0.2538 0.7446
S 0.7446 0.7446 0.2538
S 0.7462 0.2554 0.2554
S 0.7508 0.7508 0.7508
```



(3)
VASP calculation (PBE-GGA) on a relaxed Cu2TcIr crystal. Values from VASP.

## Properties
For the energy above the most stable polymorph in this dataset, the calculation gives 8 meV/atom. As for the uncorrected energy: -27.25 eV per cell. The formation enthalpy at 0 K comes out at 0.043 eV per atom.

```
&SYSTEM
  ibrav = 0, nat = 4, ntyp = 3
/
ATOMIC_SPECIES
Cu 63.55 Cu.upf
Tc 98.00 Tc.upf
Ir 192.22 Ir.upf
CELL_PARAMETERS angstrom
2.7169 0.0000 0.0000
0.0000 3.7754 0.0000
-0.0141 0.0000 5.2773
ATOMIC_POSITIONS crystal
Cu 0.0000 0.0000 0.0000
Cu 0.4988 0.5000 0.2158
Tc 0.9992 0.0000 0.4989
Ir 0.5005 0.5000 0.7170
```



(4)
VASP calculation (PBE-GGA) on a relaxed PaZnFePd crystal. Values from VASP.

## Properties
As for the uncorrected energy: -25.06 eV per cell. The formation enthalpy at 0 K comes out at -0.158 eV per atom.

```
&SYSTEM
  ibrav = 0, nat = 4, ntyp = 4
/
ATOMIC_SPECIES
Pa 231.04 Pa.upf
Zn 65.41 Zn.upf
Fe 55.84 Fe.upf
Pd 106.42 Pd.upf
CELL_PARAMETERS angstrom
0.0000 3.2537 3.2537
3.2537 0.0000 3.2537
3.2537 3.2537 0.0000
ATOMIC_POSITIONS crystal
Pa 0.0000 0.0000 0.0000
Zn 0.5000 0.5000 0.5000
Fe 0.2500 0.2500 0.2500
Pd 0.7500 0.7500 0.7500
```



(5)
VASP calculation (PBE-GGA) on a relaxed LiAcPb3 crystal. Values from VASP.

## Properties
For the energy above the most stable polymorph in this dataset, the calculation gives 54 meV/atom. As for the uncorrected energy: -18.28 eV per cell. The formation enthalpy at 0 K comes out at -0.227 eV per atom.

```
&SYSTEM
  ibrav = 0, nat = 5, ntyp = 3
/
ATOMIC_SPECIES
Li 6.94 Li.upf
Ac 227.00 Ac.upf
Pb 207.20 Pb.upf
CELL_PARAMETERS angstrom
5.2827 0.0000 0.0000
0.0000 5.2827 0.0000
0.0000 0.0000 5.2827
ATOMIC_POSITIONS crystal
Li 0.0000 0.0000 0.0000
Ac 0.5000 0.5000 0.5000
Pb 0.0000 0.0000 0.5000
Pb 0.0000 0.5000 0.0000
Pb 0.5000 0.0000 0.0000
```



(6)
VASP calculation (PBE-GGA) on a relaxed LaAsW2 crystal. Values from VASP.

## Properties
As for the uncorrected energy: -34.21 eV per cell. The formation enthalpy at 0 K comes out at 0.318 eV per atom.

```
&SYSTEM
  ibrav = 0, nat = 4, ntyp = 3
/
ATOMIC_SPECIES
La 138.91 La.upf
As 74.92 As.upf
W 183.84 W.upf
CELL_PARAMETERS angstrom
4.7294 -1.7100 0.0000
4.7294 1.7100 0.0000
-1.1218 0.0000 5.2134
ATOMIC_POSITIONS crystal
La 0.0000 0.0000 0.0000
As 0.5000 0.5000 0.5000
W 0.2304 0.2304 0.6621
W 0.7696 0.7696 0.3379
```



(7)
VASP calculation (PBE-GGA) on a relaxed Li2La2Mg crystal. Values from VASP.

## Properties
For the energy above the most stable polymorph in this dataset, the calculation gives 211 meV/atom. As for the uncorrected energy: -28.03 eV per cell. The formation enthalpy at 0 K comes out at 0.252 eV per atom.

```
&SYSTEM
  ibrav = 0, nat = 10, ntyp = 3
/
ATOMIC_SPECIES
Li 6.94 Li.upf
La 138.91 La.upf
Mg 24.30 Mg.upf
CELL_PARAMETERS angstrom
8.9695 0.0000 0.0000
0.0000 8.9695 0.0000
0.0000 0.0000 3.5375
ATOMIC_POSITIONS crystal
Li 0.1785 0.3215 0.0000
Li 0.3215 0.8215 0.0000
Li 0.6785 0.1785 0.0000
Li 0.8215 0.6785 0.0000
La 0.1171 0.6171 0.5000
La 0.3829 0.1171 0.5000
La 0.6171 0.8829 0.5000
La 0.8829 0.3829 0.5000
Mg 0.0000 0.0000 0.5000
Mg 0.5000 0.5000 0.5000
```



(8)
VASP calculation (PBE-GGA) on a relaxed CuSeCl2 crystal. Values from VASP.

## Properties
For the energy above the most stable polymorph in this dataset, the calculation gives 333 meV/atom. As for the uncorrected energy: -11.13 eV per cell. The uncorrected formation energy comes out at 0.036 eV/atom.

```
&SYSTEM
  ibrav = 0, nat = 4, ntyp = 3
/
ATOMIC_SPECIES
Cu 63.55 Cu.upf
Se 78.96 Se.upf
Cl 35.45 Cl.upf
CELL_PARAMETERS angstrom
-1.5293 3.8724 4.6173
1.5293 -3.8724 4.6173
1.5293 3.8724 -4.6173
ATOMIC_POSITIONS crystal
Cu 0.0000 0.0000 0.0000
Se 0.5000 0.5000 0.0000
Cl 0.1773 0.6773 0.5000
Cl 0.8227 0.3227 0.5000
```



(9)
VASP calculation (PBE-GGA) on a relaxed SmHoZnPt crystal. Values from VASP.

## Properties
For the energy above the most stable polymorph in this dataset, the calculation gives 0 meV/atom. As for the uncorrected energy: -19.77 eV per cell. The formation enthalpy at 0 K comes out at -0.790 eV per atom.

```
&SYSTEM
  ibrav = 0, nat = 4, ntyp = 4
/
ATOMIC_SPECIES
Sm 150.36 Sm.upf
Ho 164.93 Ho.upf
Zn 65.41 Zn.upf
Pt 195.08 Pt.upf
CELL_PARAMETERS angstrom
4.4584 0.0000 0.0000
0.0000 1.9323 5.4141
0.0000 -1.9323 5.4141
ATOMIC_POSITIONS crystal
Sm 0.0000 0.0000 0.0000
Ho 0.5000 0.2813 0.2813
Zn 0.5000 0.5679 0.5679
Pt 0.0000 0.7183 0.7183
```